CeDyRu2 | PBE | relaxed

Cell: 3.4263 3.4263 6.8586 Å, 90.00 90.00 90.00°
Positions (direct):
Ru1 0.0000 0.0000 0.7653
Ru2 0.0000 0.0000 0.2347
Ce1 0.5000 0.5000 0.0000
Dy1 0.5000 0.5000 0.5000

Calculated values
DOS at the Fermi energy ... 1.59 states/eV/cell
DFT total energy ... -30.62 eV for the cell shown
Formation energy ... -1.53 eV per formula unit
Magnetic moment ... 0.00 μB per atom